No. 1
! YCoBMo (PBE-GGA, relaxed); values from VASP
! - raw total energy (hartree per atom) = -0.2528
! - size of the total moment (μB per formula unit) = 2.9
! - ΔE to the lowest computed polymorph (meV/atom) = 51
&SYSTEM
  ibrav = 0, nat = 4, ntyp = 4
/
ATOMIC_SPECIES
Y 88.91 Y.upf
Co 58.93 Co.upf
B 10.81 B.upf
Mo 95.94 Mo.upf
CELL_PARAMETERS angstrom
0.000 3.109 3.109
3.109 0.000 3.109
3.109 3.109 0.000
ATOMIC_POSITIONS crystal
Y 0.000 0.000 0.000
Co 0.500 0.500 0.500
B 0.250 0.250 0.250
Mo 0.750 0.750 0.750


No. 2
! NiB12H12 (PBE-GGA, relaxed); values from VASP
! - raw total energy (hartree per atom) = -0.1887
! - size of the total moment (μB per formula unit) = 2.0
&SYSTEM
  ibrav = 0, nat = 50, ntyp = 3
/
ATOMIC_SPECIES
Ni 58.69 Ni.upf
B 10.81 B.upf
H 1.01 H.upf
CELL_PARAMETERS angstrom
7.216 0.000 0.000
0.000 7.322 0.000
0.000 0.000 7.436
ATOMIC_POSITIONS crystal
Ni 0.000 0.166 0.000
Ni 0.500 0.834 0.500
B 0.000 0.631 0.978
B 0.000 0.632 0.369
B 0.000 0.869 0.986
B 0.000 0.875 0.372
B 0.122 0.946 0.176
B 0.123 0.557 0.173
B 0.196 0.753 0.292
B 0.201 0.752 0.054
B 0.299 0.248 0.554
B 0.304 0.247 0.792
B 0.377 0.443 0.673
B 0.378 0.054 0.676
B 0.500 0.125 0.872
B 0.500 0.131 0.486
B 0.500 0.368 0.869
B 0.500 0.369 0.478
B 0.622 0.054 0.676
B 0.623 0.443 0.673
B 0.696 0.247 0.792
B 0.701 0.248 0.554
B 0.799 0.752 0.054
B 0.804 0.753 0.292
B 0.877 0.557 0.173
B 0.878 0.946 0.176
H 0.000 0.548 0.505
H 0.000 0.549 0.839
H 0.000 0.961 0.508
H 0.000 0.970 0.850
H 0.153 0.275 0.870
H 0.158 0.245 0.470
H 0.200 0.097 0.166
H 0.209 0.417 0.176
H 0.291 0.583 0.676
H 0.300 0.903 0.666
H 0.342 0.755 0.970
H 0.347 0.725 0.370
H 0.500 0.030 0.350
H 0.500 0.039 0.008
H 0.500 0.451 0.339
H 0.500 0.452 0.005
H 0.653 0.725 0.370
H 0.658 0.755 0.970
H 0.700 0.903 0.666
H 0.709 0.583 0.676
H 0.791 0.417 0.176
H 0.800 0.097 0.166
H 0.842 0.245 0.470
H 0.847 0.275 0.870


No. 3
! PmMgZnAg (PBE-GGA, relaxed); values from VASP
! - raw total energy (hartree per atom) = -0.1075
! - size of the total moment (μB per formula unit) = 0.0
&SYSTEM
  ibrav = 0, nat = 4, ntyp = 4
/
ATOMIC_SPECIES
Pm 145.00 Pm.upf
Mg 24.30 Mg.upf
Zn 65.41 Zn.upf
Ag 107.87 Ag.upf
CELL_PARAMETERS angstrom
0.000 3.514 3.514
3.514 0.000 3.514
3.514 3.514 0.000
ATOMIC_POSITIONS crystal
Pm 0.000 0.000 0.000
Mg 0.500 0.500 0.500
Zn 0.750 0.750 0.750
Ag 0.250 0.250 0.250


No. 4
! LaTmIn2 (PBE-GGA, relaxed); values from VASP
! - raw total energy (hartree per atom) = -0.1543
! - size of the total moment (μB per formula unit) = 0.0
&SYSTEM
  ibrav = 0, nat = 4, ntyp = 3
/
ATOMIC_SPECIES
La 138.91 La.upf
Tm 168.93 Tm.upf
In 114.82 In.upf
CELL_PARAMETERS angstrom
3.799 0.000 0.000
0.000 3.799 0.000
0.000 0.000 7.772
ATOMIC_POSITIONS crystal
La 0.000 0.000 0.000
Tm 0.000 0.000 0.500
In 0.500 0.500 0.273
In 0.500 0.500 0.727


No. 5
! GdInCl3 (PBE-GGA, relaxed); values from VASP
! - raw total energy (hartree per atom) = -0.1478
! - size of the total moment (μB per formula unit) = 0.3
! - ΔE to the lowest computed polymorph (meV/atom) = 110
&SYSTEM
  ibrav = 0, nat = 5, ntyp = 3
/
ATOMIC_SPECIES
Gd 157.25 Gd.upf
In 114.82 In.upf
Cl 35.45 Cl.upf
CELL_PARAMETERS angstrom
5.363 0.000 0.000
0.000 5.363 0.000
0.000 0.000 5.363
ATOMIC_POSITIONS crystal
Gd 0.000 0.000 0.000
In 0.500 0.500 0.500
Cl 0.000 0.000 0.500
Cl 0.000 0.500 0.000
Cl 0.500 0.000 0.000


No. 6
! SmTcAs (PBE-GGA, relaxed); values from VASP
! - raw total energy (hartree per atom) = -0.2142
! - size of the total moment (μB per formula unit) = 1.2
! - ΔE to the lowest computed polymorph (meV/atom) = 873
&SYSTEM
  ibrav = 0, nat = 3, ntyp = 3
/
ATOMIC_SPECIES
Sm 150.36 Sm.upf
Tc 98.00 Tc.upf
As 74.92 As.upf
CELL_PARAMETERS angstrom
0.000 3.324 3.324
3.324 0.000 3.324
3.324 3.324 0.000
ATOMIC_POSITIONS crystal
Sm 0.000 0.000 0.000
Tc 0.250 0.250 0.250
As 0.750 0.750 0.750


No. 7
! CdGeO3 (PBE-GGA, relaxed); values from VASP
! - raw total energy (hartree per atom) = -0.1708
&SYSTEM
  ibrav = 0, nat = 5, ntyp = 3
/
ATOMIC_SPECIES
Cd 112.41 Cd.upf
Ge 72.64 Ge.upf
O 16.00 O.upf
CELL_PARAMETERS angstrom
3.413 0.000 0.000
0.000 3.413 0.000
0.000 0.000 5.587
ATOMIC_POSITIONS crystal
Cd 0.000 0.000 0.000
Ge 0.500 0.500 0.428
O 0.000 0.000 0.637
O 0.000 0.500 0.268
O 0.500 0.000 0.268


No. 8
! HfZnCoCu (PBE-GGA, relaxed); values from VASP
! - raw total energy (hartree per atom) = -0.2093
! - size of the total moment (μB per formula unit) = 0.3
! - ΔE to the lowest computed polymorph (meV/atom) = 0
! - ΔE_f (eV/atom) = -0.1853
&SYSTEM
  ibrav = 0, nat = 4, ntyp = 4
/
ATOMIC_SPECIES
Hf 178.49 Hf.upf
Zn 65.41 Zn.upf
Co 58.93 Co.upf
Cu 63.55 Cu.upf
CELL_PARAMETERS angstrom
0.000 3.047 3.047
3.047 0.000 3.047
3.047 3.047 0.000
ATOMIC_POSITIONS crystal
Hf 0.000 0.000 0.000
Zn 0.500 0.500 0.500
Co 0.750 0.750 0.750
Cu 0.250 0.250 0.250